# 1
Computed, not measured: crystalline BeInFe2 at its relaxed geometry at the PBE level of DFT.

Geometry as CIF:
```
data_BeInFe2
_chemical_formula_sum 'Be1 In1 Fe2'
_symmetry_space_group_name_H-M 'P 1'
_symmetry_Int_Tables_number 1
_cell_length_a 4.6482
_cell_length_b 4.6482
_cell_length_c 2.7032
_cell_angle_alpha 89.96
_cell_angle_beta 89.96
_cell_angle_gamma 112.41
loop_
_symmetry_equiv_pos_as_xyz
'x,y,z'
loop_
_atom_site_label
_atom_site_type_symbol
_atom_site_fract_x
_atom_site_fract_y
_atom_site_fract_z
_atom_site_occupancy
In1 In 0.5000 0.0000 0.5000 1
Fe1 Fe 0.0000 0.0000 0.0000 1
Fe2 Fe 0.5000 0.5000 0.0000 1
Be1 Be 0.0000 0.5000 0.5000 1
```

## Properties
The symmetry is No. 65. The calculation puts the total energy at -5.52 eV/atom.

# 2
Computed, not measured: crystalline BeInFe2 at its relaxed geometry at the PBE level of DFT.

Geometry as CIF:
```
data_BeInFe2
_chemical_formula_sum 'Be1 In1 Fe2'
_symmetry_space_group_name_H-M 'P 1'
_symmetry_Int_Tables_number 1
_cell_length_a 2.8232
_cell_length_b 2.8274
_cell_length_c 6.9812
_cell_angle_alpha 66.00
_cell_angle_beta 90.00
_cell_angle_gamma 90.00
loop_
_symmetry_equiv_pos_as_xyz
'x,y,z'
loop_
_atom_site_label
_atom_site_type_symbol
_atom_site_fract_x
_atom_site_fract_y
_atom_site_fract_z
_atom_site_occupancy
Be1 Be 0.5000 0.7500 0.7500 1
Fe1 Fe 0.0000 0.0631 0.9365 1
Fe2 Fe 0.0000 0.4369 0.5635 1
In1 In 0.5000 0.2500 0.2500 1
```

## Properties
The symmetry is No. 10. The calculation puts the total energy at -5.70 eV/atom.

# 3
Computed, not measured: crystalline BeIn2Fe at its relaxed geometry at the PBE level of DFT.

Geometry as CIF:
```
data_BeIn2Fe
_chemical_formula_sum 'Be1 In2 Fe1'
_symmetry_space_group_name_H-M 'P 1'
_symmetry_Int_Tables_number 1
_cell_length_a 4.5710
_cell_length_b 4.5710
_cell_length_c 4.5710
_cell_angle_alpha 60.00
_cell_angle_beta 60.00
_cell_angle_gamma 60.00
loop_
_symmetry_equiv_pos_as_xyz
'x,y,z'
loop_
_atom_site_label
_atom_site_type_symbol
_atom_site_fract_x
_atom_site_fract_y
_atom_site_fract_z
_atom_site_occupancy
Be1 Be 0.5000 0.5000 0.5000 1
In1 In 0.0000 0.0000 0.0000 1
In2 In 0.7500 0.7500 0.7500 1
Fe1 Fe 0.2500 0.2500 0.2500 1
```

## Properties
The symmetry is No. 216. The calculation puts the total energy at -3.73 eV/atom.